Record 1
Crystalline CdGaHg2Se4 at its relaxed geometry. Source: Alexandria, functional PBE.

Lattice parameters (Å, degrees): 8.692 8.706 12.613 90.00 90.00 90.00
Space group Fmm2 (No. 42)
Asymmetric unit:
1 Cd 0.000 0.000 0.000 [4 per cell]
2 Ga 0.000 0.000 0.500 [4 per cell]
3 Hg 0.250 0.250 0.250 [8 per cell]
4 Se 0.000 0.234 0.385 [8 per cell]
5 Se 0.234 0.000 0.616 [8 per cell]

Computed properties:
N(E_F) = 0.335 states/eV/atom
Energy relative to the elements, uncorrected = -349 meV/atom
Crystal system = orthorhombic

Record 2
Crystalline Sm4Cd2GaHg at its relaxed geometry. Source: Alexandria, functional PBE.

Lattice parameters (Å, degrees): 5.3284 5.3284 26.1654 90.00 90.00 120.00
Space group R-3m (No. 166, hexagonal axes)
Asymmetric unit:
1 Sm 0.0000 0.0000 0.1219 [6 per cell]
2 Sm 0.0000 0.0000 0.3719 [6 per cell]
3 Cd 0.0000 0.0000 0.2488 [6 per cell]
4 Ga 0.0000 0.0000 0.0000 [3 per cell]
5 Hg 0.0000 0.0000 0.5000 [3 per cell]

Computed properties:
N(E_F) = 1.361 states/eV/atom
DFT formation energy = -0.41 eV/atom
Crystal system = trigonal

Record 3
Crystalline SmCdGaHg at its relaxed geometry. Source: Alexandria, functional PBE.

Lattice parameters (Å, degrees): 7.189 7.189 7.189 90.00 90.00 90.00
Space group F-43m (No. 216)
Asymmetric unit:
1 Sm 0.000 0.000 0.000 [4 per cell]
2 Cd 0.000 0.000 0.500 [4 per cell]
3 Ga 0.250 0.250 0.750 [4 per cell]
4 Hg 0.250 0.250 0.250 [4 per cell]

Computed properties:
N(E_F) = 0.170 states/eV/atom
DFT formation energy = -0.37 eV/atom
Crystal system = cubic

Record 4
Crystalline CdGaSnHg at its relaxed geometry. Source: Alexandria, functional PBE.

Lattice parameters (Å, degrees): 3.380 3.380 8.350 90.00 90.00 90.00
Space group P4mm (No. 99)
Asymmetric unit:
1 Cd 0.000 0.000 0.000 [1 per cell]
2 Ga 0.500 0.500 0.224 [1 per cell]
3 Sn 0.000 0.000 0.461 [1 per cell]
4 Hg 0.500 0.500 0.743 [1 per cell]

Computed properties:
N(E_F) = 0.396 states/eV/atom
Energy above the most stable polymorph in this dataset = 0 meV per atom
DFT formation energy = 0.06 eV/atom
Crystal system = tetragonal

Record 5
Crystalline Cd3GaSnHg at its relaxed geometry. Source: Alexandria, functional PBE.

Lattice parameters (Å, degrees): 8.227 3.872 9.640 90.00 112.26 90.00
Space group P2_1/m (No. 11)
Asymmetric unit:
1 Cd 0.090 0.250 0.281 [2 per cell]
2 Cd 0.137 0.250 0.976 [2 per cell]
3 Cd 0.358 0.750 0.532 [2 per cell]
4 Ga 0.116 0.250 0.605 [2 per cell]
5 Sn 0.368 0.750 0.860 [2 per cell]
6 Hg 0.367 0.750 0.227 [2 per cell]

Computed properties:
N(E_F) = 0.308 states/eV/atom
DFT formation energy = 0.05 eV/atom
Crystal system = monoclinic

Record 6
Crystalline CdGaSnHg at its relaxed geometry. Source: Alexandria, functional PBE.

Lattice parameters (Å, degrees): 7.289 7.289 7.289 90.00 90.00 90.00
Space group F-43m (No. 216)
Asymmetric unit:
1 Cd 0.000 0.000 0.000 [4 per cell]
2 Ga 0.000 0.000 0.500 [4 per cell]
3 Sn 0.250 0.250 0.250 [4 per cell]
4 Hg 0.250 0.250 0.750 [4 per cell]

Computed properties:
N(E_F) = 0.733 states/eV/atom
Energy above the most stable polymorph in this dataset = 46 meV per atom
DFT formation energy = 0.11 eV/atom
Crystal system = cubic

Record 7
Crystalline CdGa2SnHg at its relaxed geometry. Source: Alexandria, functional PBE.

Lattice parameters (Å, degrees): 5.447 5.447 5.614 90.00 90.00 90.00
Space group P4/mmm (No. 123)
Asymmetric unit:
1 Cd 0.000 0.000 0.000 [1 per cell]
2 Ga 0.000 0.500 0.500 [2 per cell]
3 Sn 0.500 0.500 0.500 [1 per cell]
4 Hg 0.500 0.500 0.000 [1 per cell]

Computed properties:
N(E_F) = 0.579 states/eV/atom
DFT formation energy = 0.42 eV/atom
Crystal system = tetragonal

Record 8
Crystalline Cd4GaSnHg2 at its relaxed geometry. Source: Alexandria, functional PBE.

Lattice parameters (Å, degrees): 5.205 3.835 9.916 90.00 104.06 90.00
Space group P2/m (No. 10)
Asymmetric unit:
1 Cd 0.214 0.000 0.243 [2 per cell]
2 Cd 0.268 0.500 0.748 [2 per cell]
3 Ga 0.000 0.500 0.000 [1 per cell]
4 Sn 0.500 0.000 0.000 [1 per cell]
5 Hg 0.000 0.000 0.500 [1 per cell]
6 Hg 0.500 0.500 0.500 [1 per cell]

Computed properties:
N(E_F) = 0.400 states/eV/atom
DFT formation energy = 0.05 eV/atom
Crystal system = monoclinic

Record 9
Crystalline Sr2CdGa4Hg3 at its relaxed geometry. Source: Alexandria, functional PBE.

Lattice parameters (Å, degrees): 4.648 4.648 11.436 90.00 90.00 90.00
Space group P-4m2 (No. 115)
Asymmetric unit:
1 Sr 0.000 0.500 0.250 [2 per cell]
2 Cd 0.000 0.000 0.500 [1 per cell]
3 Ga 0.000 0.000 0.000 [1 per cell]
4 Ga 0.000 0.500 0.635 [2 per cell]
5 Ga 0.500 0.500 0.000 [1 per cell]
6 Hg 0.000 0.500 0.866 [2 per cell]
7 Hg 0.500 0.500 0.500 [1 per cell]

Computed properties:
N(E_F) = 0.411 states/eV/atom
DFT formation energy = -0.32 eV/atom
Crystal system = tetragonal

Record 10
Crystalline Sr3CdGa2Hg6 at its relaxed geometry. Source: Alexandria, functional PBE.

Lattice parameters (Å, degrees): 6.6408 6.6408 9.1640 90.00 90.00 120.00
Space group P-3m1 (No. 164)
Asymmetric unit:
1 Sr 0.0000 0.0000 0.0000 [1 per cell]
2 Sr 0.3333 0.6667 0.6287 [2 per cell]
3 Cd 0.0000 0.0000 0.5000 [1 per cell]
4 Ga 0.3333 0.6667 0.0073 [2 per cell]
5 Hg 0.1799 0.3598 0.2730 [6 per cell]

Computed properties:
N(E_F) = 0.522 states/eV/atom
DFT formation energy = -0.23 eV/atom
Crystal system = trigonal

Record 11
Crystalline Sr2Cd3GaHg4 at its relaxed geometry. Source: Alexandria, functional PBE.

Lattice parameters (Å, degrees): 4.654 4.654 12.540 90.00 90.00 90.00
Space group P-4m2 (No. 115)
Asymmetric unit:
1 Sr 0.000 0.500 0.244 [2 per cell]
2 Cd 0.000 0.000 0.000 [1 per cell]
3 Cd 0.000 0.500 0.642 [2 per cell]
4 Ga 0.500 0.500 0.000 [1 per cell]
5 Hg 0.000 0.000 0.500 [1 per cell]
6 Hg 0.000 0.500 0.866 [2 per cell]
7 Hg 0.500 0.500 0.500 [1 per cell]

Computed properties:
N(E_F) = 0.443 states/eV/atom
DFT formation energy = -0.28 eV/atom
Crystal system = tetragonal

Record 12
Crystalline Tb4CdGaHg2 at its relaxed geometry. Source: Alexandria, functional PBE.

Lattice parameters (Å, degrees): 5.2542 5.2542 25.6693 90.00 90.00 120.00
Space group R-3m (No. 166, hexagonal axes)
Asymmetric unit:
1 Tb 0.0000 0.0000 0.1200 [6 per cell]
2 Tb 0.0000 0.0000 0.3705 [6 per cell]
3 Cd 0.0000 0.0000 0.5000 [3 per cell]
4 Ga 0.0000 0.0000 0.0000 [3 per cell]
5 Hg 0.0000 0.0000 0.2440 [6 per cell]

Computed properties:
N(E_F) = 1.254 states/eV/atom
DFT formation energy = -0.46 eV/atom
Crystal system = trigonal

Record 13
Crystalline CdGaHgTe2 at its relaxed geometry. Source: Alexandria, functional PBE.

Lattice parameters (Å, degrees): 5.799 5.799 5.085 90.00 90.00 90.00
Space group P4/mmm (No. 123)
Asymmetric unit:
1 Cd 0.000 0.000 0.000 [1 per cell]
2 Ga 0.500 0.500 0.000 [1 per cell]
3 Hg 0.500 0.500 0.500 [1 per cell]
4 Te 0.000 0.500 0.500 [2 per cell]

Computed properties:
N(E_F) = 0.981 states/eV/atom
Energy relative to the elements, uncorrected = 392 meV/atom
Energy above the most stable polymorph in this dataset = 168 meV per atom
Crystal system = tetragonal

Record 14
Crystalline CdGaHgTe2 at its relaxed geometry. Source: Alexandria, functional PBE.

Lattice parameters (Å, degrees): 5.683 5.683 5.607 90.00 90.00 90.00
Space group P4/mmm (No. 123)
Asymmetric unit:
1 Cd 0.000 0.000 0.000 [1 per cell]
2 Ga 0.500 0.500 0.500 [1 per cell]
3 Hg 0.000 0.000 0.500 [1 per cell]
4 Te 0.000 0.500 0.000 [2 per cell]

Computed properties:
N(E_F) = 0.495 states/eV/atom
Energy relative to the elements, uncorrected = 224 meV/atom
Energy above the most stable polymorph in this dataset = 0 meV per atom
Crystal system = tetragonal

Record 15
Crystalline TlCd2GaHg at its relaxed geometry. Source: Alexandria, functional PBE.

Lattice parameters (Å, degrees): 5.233 5.233 5.688 90.00 90.00 90.00
Space group P4/mmm (No. 123)
Asymmetric unit:
1 Tl 0.000 0.000 0.000 [1 per cell]
2 Cd 0.000 0.500 0.500 [2 per cell]
3 Ga 0.000 0.000 0.500 [1 per cell]
4 Hg 0.500 0.500 0.000 [1 per cell]

Computed properties:
N(E_F) = 0.458 states/eV/atom
Energy above the most stable polymorph in this dataset = 26 meV per atom
DFT formation energy = 0.17 eV/atom
Crystal system = tetragonal

Record 16
Crystalline Tl2Cd2GaHg7 at its relaxed geometry. Source: Alexandria, functional PBE.

Lattice parameters (Å, degrees): 6.476 6.484 15.901 90.00 100.88 90.00
Space group C2/m (No. 12)
Asymmetric unit:
1 Tl 0.181 0.000 0.324 [4 per cell]
2 Cd 0.164 0.500 0.284 [4 per cell]
3 Ga 0.000 0.000 0.000 [2 per cell]
4 Hg 0.000 0.500 0.000 [2 per cell]
5 Hg 0.159 0.250 0.853 [8 per cell]
6 Hg 0.240 0.500 0.475 [4 per cell]

Computed properties:
N(E_F) = 0.352 states/eV/atom
DFT formation energy = 0.04 eV/atom
Crystal system = monoclinic

Record 17
Crystalline Tl2CdGaHg at its relaxed geometry. Source: Alexandria, functional PBE.

Lattice parameters (Å, degrees): 5.651 5.651 5.171 90.00 90.00 90.00
Space group P4/mmm (No. 123)
Asymmetric unit:
1 Tl 0.000 0.500 0.000 [2 per cell]
2 Cd 0.000 0.000 0.500 [1 per cell]
3 Ga 0.000 0.000 0.000 [1 per cell]
4 Hg 0.500 0.500 0.500 [1 per cell]

Computed properties:
N(E_F) = 0.647 states/eV/atom
DFT formation energy = 0.19 eV/atom
Crystal system = tetragonal

Record 18
Crystalline TlCd2GaHg8 at its relaxed geometry. Source: Alexandria, functional PBE.

Lattice parameters (Å, degrees): 6.6664 6.6664 8.6385 90.00 90.00 120.00
Space group P-3m1 (No. 164)
Asymmetric unit:
1 Tl 0.0000 0.0000 0.0000 [1 per cell]
2 Cd 0.3333 0.6667 0.3951 [2 per cell]
3 Ga 0.0000 0.0000 0.5000 [1 per cell]
4 Hg 0.1799 0.3597 0.7205 [6 per cell]
5 Hg 0.3333 0.6667 0.0492 [2 per cell]

Computed properties:
N(E_F) = 0.295 states/eV/atom
DFT formation energy = 0.07 eV/atom
Crystal system = trigonal

Record 19
Crystalline TlCd2GaHg at its relaxed geometry. Source: Alexandria, functional PBE.

Lattice parameters (Å, degrees): 5.313 5.313 5.277 90.00 90.00 90.00
Space group P4/mmm (No. 123)
Asymmetric unit:
1 Tl 0.000 0.000 0.000 [1 per cell]
2 Cd 0.000 0.500 0.500 [2 per cell]
3 Ga 0.500 0.500 0.500 [1 per cell]
4 Hg 0.500 0.500 0.000 [1 per cell]

Computed properties:
N(E_F) = 0.346 states/eV/atom
Energy above the most stable polymorph in this dataset = 0 meV per atom
DFT formation energy = 0.15 eV/atom
Crystal system = tetragonal

Record 20
Crystalline Tl2CdGaHg6 at its relaxed geometry. Source: Alexandria, functional PBE.

Lattice parameters (Å, degrees): 6.345 6.375 6.819 80.95 86.02 88.22
Space group P-1 (No. 2)
Asymmetric unit:
1 Tl 0.247 0.411 0.111 [2 per cell]
2 Cd 0.000 0.000 0.000 [1 per cell]
3 Ga 0.500 0.500 0.500 [1 per cell]
4 Hg 0.100 0.277 0.602 [2 per cell]
5 Hg 0.255 0.789 0.699 [2 per cell]
6 Hg 0.408 0.887 0.216 [2 per cell]

Computed properties:
N(E_F) = 0.365 states/eV/atom
DFT formation energy = 0.02 eV/atom
Crystal system = triclinic